Record 1
The following is a PBE calculation of an optimized crystal structure of SrCaZr3, from Alexandria.

Energy of formation from the pure elements = 1.523 eV/atom
Space group = No. 221

CIF file:
```
data_SrCaZr3
_cell_length_a 5.365
_cell_length_b 5.365
_cell_length_c 5.365
_cell_angle_alpha 90.00
_cell_angle_beta 90.00
_cell_angle_gamma 90.00
_symmetry_space_group_name_H-M 'P 1'
_symmetry_Int_Tables_number 1
_symmetry_space_group_name_Hall 'P 1'
loop_
_atom_site_label
_atom_site_type_symbol
_atom_site_fract_x
_atom_site_fract_y
_atom_site_fract_z
_atom_site_occupancy
Sr1 Sr 0.000 0.000 0.000 1
Ca1 Ca 0.500 0.500 0.500 1
Zr1 Zr 0.000 0.000 0.500 1
Zr2 Zr 0.000 0.500 0.000 1
Zr3 Zr 0.500 0.000 0.000 1
```

***

Record 2
The following is a PBE calculation of an optimized crystal structure of SrCa2Zr, from Alexandria.

Energy of formation from the pure elements = 0.319 eV/atom
Space group = No. 99

CIF file:
```
data_SrCa2Zr
_cell_length_a 3.667
_cell_length_b 3.667
_cell_length_c 10.852
_cell_angle_alpha 90.00
_cell_angle_beta 90.00
_cell_angle_gamma 90.00
_symmetry_space_group_name_H-M 'P 1'
_symmetry_Int_Tables_number 1
_symmetry_space_group_name_Hall 'P 1'
loop_
_atom_site_label
_atom_site_type_symbol
_atom_site_fract_x
_atom_site_fract_y
_atom_site_fract_z
_atom_site_occupancy
Sr1 Sr 0.000 0.000 0.000 1
Ca1 Ca 0.000 0.000 0.437 1
Ca2 Ca 0.500 0.500 0.707 1
Zr1 Zr 0.500 0.500 0.229 1
```

***

Record 3
The following is a PBE calculation of an optimized crystal structure of SrCaZr, from Alexandria.

Energy of formation from the pure elements = 0.412 eV/atom
Space group = No. 107

CIF file:
```
data_SrCaZr
_cell_length_a 8.504
_cell_length_b 8.504
_cell_length_c 8.504
_cell_angle_alpha 155.55
_cell_angle_beta 155.55
_cell_angle_gamma 34.85
_symmetry_space_group_name_H-M 'P 1'
_symmetry_Int_Tables_number 1
_symmetry_space_group_name_Hall 'P 1'
loop_
_atom_site_label
_atom_site_type_symbol
_atom_site_fract_x
_atom_site_fract_y
_atom_site_fract_z
_atom_site_occupancy
Sr1 Sr 0.000 0.000 0.000 1
Ca1 Ca 0.701 0.701 0.000 1
Zr1 Zr 0.345 0.345 0.000 1
```

***

Record 4
The following is a PBE calculation of an optimized crystal structure of SrCaZr3, from Alexandria.

Energy of formation from the pure elements = 1.351 eV/atom
Space group = No. 221

CIF file:
```
data_SrCaZr3
_cell_length_a 5.391
_cell_length_b 5.391
_cell_length_c 5.391
_cell_angle_alpha 90.00
_cell_angle_beta 90.00
_cell_angle_gamma 90.00
_symmetry_space_group_name_H-M 'P 1'
_symmetry_Int_Tables_number 1
_symmetry_space_group_name_Hall 'P 1'
loop_
_atom_site_label
_atom_site_type_symbol
_atom_site_fract_x
_atom_site_fract_y
_atom_site_fract_z
_atom_site_occupancy
Sr1 Sr 0.000 0.000 0.000 1
Ca1 Ca 0.500 0.500 0.500 1
Zr1 Zr 0.000 0.500 0.500 1
Zr2 Zr 0.500 0.000 0.500 1
Zr3 Zr 0.500 0.500 0.000 1
```

***

Record 5
The following is a PBE calculation of an optimized crystal structure of SrCaZr2, from Alexandria.

Energy of formation from the pure elements = 0.411 eV/atom
Space group = No. 8

CIF file:
```
data_SrCaZr2
_cell_length_a 5.557
_cell_length_b 5.557
_cell_length_c 7.064
_cell_angle_alpha 95.65
_cell_angle_beta 95.65
_cell_angle_gamma 35.25
_symmetry_space_group_name_H-M 'P 1'
_symmetry_Int_Tables_number 1
_symmetry_space_group_name_Hall 'P 1'
loop_
_atom_site_label
_atom_site_type_symbol
_atom_site_fract_x
_atom_site_fract_y
_atom_site_fract_z
_atom_site_occupancy
Sr1 Sr 0.000 0.000 0.000 1
Ca1 Ca 0.763 0.763 0.299 1
Zr1 Zr 0.246 0.246 0.707 1
Zr2 Zr 0.514 0.514 0.566 1
```

***

Record 6
The following is a PBE calculation of an optimized crystal structure of SrCa2Zr, from Alexandria.

Energy of formation from the pure elements = 0.375 eV/atom
Space group = No. 12

CIF file:
```
data_SrCa2Zr
_cell_length_a 6.437
_cell_length_b 6.437
_cell_length_c 6.653
_cell_angle_alpha 99.28
_cell_angle_beta 99.28
_cell_angle_gamma 32.85
_symmetry_space_group_name_H-M 'P 1'
_symmetry_Int_Tables_number 1
_symmetry_space_group_name_Hall 'P 1'
loop_
_atom_site_label
_atom_site_type_symbol
_atom_site_fract_x
_atom_site_fract_y
_atom_site_fract_z
_atom_site_occupancy
Sr1 Sr 0.000 0.000 0.000 1
Ca1 Ca 0.238 0.238 0.726 1
Ca2 Ca 0.762 0.762 0.274 1
Zr1 Zr 0.500 0.500 0.500 1
```

***

Record 7
The following is a PBE calculation of an optimized crystal structure of Sr2CaZr, from Alexandria.

Energy of formation from the pure elements = 0.465 eV/atom
Space group = No. 119

CIF file:
```
data_Sr2CaZr
_cell_length_a 6.573
_cell_length_b 6.573
_cell_length_c 6.573
_cell_angle_alpha 131.06
_cell_angle_beta 131.06
_cell_angle_gamma 71.72
_symmetry_space_group_name_H-M 'P 1'
_symmetry_Int_Tables_number 1
_symmetry_space_group_name_Hall 'P 1'
loop_
_atom_site_label
_atom_site_type_symbol
_atom_site_fract_x
_atom_site_fract_y
_atom_site_fract_z
_atom_site_occupancy
Sr1 Sr 0.000 0.000 0.000 1
Sr2 Sr 0.750 0.250 0.500 1
Ca1 Ca 0.500 0.500 0.000 1
Zr1 Zr 0.250 0.750 0.500 1
```

***

Record 8
The following is a PBE calculation of an optimized crystal structure of Sr2CaZr, from Alexandria.

Energy of formation from the pure elements = 0.387 eV/atom
Space group = No. 166

CIF file:
```
data_Sr2CaZr
_cell_length_a 12.896
_cell_length_b 12.896
_cell_length_c 12.896
_cell_angle_alpha 16.68
_cell_angle_beta 16.68
_cell_angle_gamma 16.68
_symmetry_space_group_name_H-M 'P 1'
_symmetry_Int_Tables_number 1
_symmetry_space_group_name_Hall 'P 1'
loop_
_atom_site_label
_atom_site_type_symbol
_atom_site_fract_x
_atom_site_fract_y
_atom_site_fract_z
_atom_site_occupancy
Sr1 Sr 0.241 0.241 0.241 1
Sr2 Sr 0.759 0.759 0.759 1
Ca1 Ca 0.000 0.000 0.000 1
Zr1 Zr 0.500 0.500 0.500 1
```

***

Number 1: total energy -0.31914 Ry/atom. Number 2: total energy -0.23808 Ry/atom. Number 3: total energy -0.26936 Ry/atom. Number 4: total energy -0.33180 Ry/atom. Number 5: total energy -0.35160 Ry/atom. Number 6: total energy -0.23398 Ry/atom. Number 7: total energy -0.22144 Ry/atom. Number 8: total energy -0.22724 Ry/atom.